# NdTmAs2Rh5 (PBE, optimized geometry)
# formation energy = -0.728 eV per atom
# DOS(E_F) = 0.44 states/eV per atom
# spin magnetization = 0.0 μB/f.u.
# volume = 160 Å³ per cell
data_NdTmAs2Rh5
_cell_length_a 4.2709
_cell_length_b 4.2709
_cell_length_c 8.7959
_cell_angle_alpha 90.00
_cell_angle_beta 90.00
_cell_angle_gamma 90.00
_symmetry_space_group_name_H-M 'P 4/m m m'
_symmetry_Int_Tables_number 123
_symmetry_space_group_name_Hall '-P 4 2'
loop_
_atom_site_label
_atom_site_type_symbol
_atom_site_fract_x
_atom_site_fract_y
_atom_site_fract_z
Nd1 Nd 0.0000 0.0000 0.0000
Tm1 Tm 0.0000 0.0000 0.5000
As1 As 0.5000 0.5000 0.3555
Rh1 Rh 0.0000 0.5000 0.2395
Rh2 Rh 0.5000 0.5000 0.0000